## SrLiZr (SCAN)

Data for SrLiZr at its PBEsol-relaxed geometry.

```
data_SrLiZr
_cell_length_a 5.4527
_cell_length_b 5.4527
_cell_length_c 3.1675
_cell_angle_alpha 90.00
_cell_angle_beta 90.00
_cell_angle_gamma 120.00
_space_group_name_H-M_alt 'P 3 m 1'
_space_group_IT_number 156
_space_group_name_Hall 'P 3 -2"'
loop_
_atom_site_label
_atom_site_type_symbol
_atom_site_fract_x
_atom_site_fract_y
_atom_site_fract_z
_atom_site_occupancy
Sr1 Sr 0.0000 0.0000 0.0000 1
Li1 Li 0.6667 0.3333 0.7802 1
Zr1 Zr 0.3333 0.6667 0.4378 1
```

Properties
- Formation energy: 0.654 eV per atom
- Polymorph energy (0 for the lowest one): 0 meV per atom
- E_tot: -53.40 eV/f.u.